(1)
K3Zr3MnTe8: relaxed, GGA-PBE.

The structure belongs to space group C2/m (No. 12); the cell edges are 14.4206, 8.3179 and 9.7562 Å and the angles 90.00°, 119.53° and 90.00°. The asymmetric unit holds K at (0.0000, 0.0000, 0.0000), K at (0.2500, 0.2500, 0.0000), Zr at (0.0000, 0.5000, 0.5000), Zr at (0.2500, 0.2500, 0.5000), Mn at (0.0000, 0.0000, 0.5000), Te at (0.0176, 0.2487, 0.3041), Te at (0.2311, 0.0000, 0.6960) and Te at (0.2345, 0.5000, 0.7038).

Its uncorrected formation energy is -0.85 eV/atom. As for the crystal system: monoclinic.

---

(2)
KZrMnTe3: relaxed, GGA-PBE.

The structure belongs to space group P2_1/m (No. 11); the cell edges are 9.9218, 3.9412 and 10.3822 Å and the angles 90.00°, 116.50° and 90.00°. The asymmetric unit holds K at (0.2200, 0.2500, 0.2285), Zr at (0.3086, 0.7500, 0.8169), Mn at (0.0609, 0.2500, 0.5542), Te at (0.1010, 0.2500, 0.8243), Te at (0.2286, 0.7500, 0.5204) and Te at (0.4548, 0.7500, 0.1422).

Its uncorrected formation energy is -0.64 eV/atom. As for the crystal system: monoclinic.

---

(3)
K2ZrMnTe4: relaxed, GGA-PBE.

The structure belongs to space group P2/m (No. 10); the cell edges are 7.5601, 4.2182 and 8.5381 Å and the angles 90.00°, 107.18° and 90.00°. The asymmetric unit holds K at (0.0000, 0.0000, 0.0000), K at (0.5000, 0.5000, 0.0000), Zr at (0.0000, 0.5000, 0.5000), Mn at (0.5000, 0.0000, 0.5000), Te at (0.2287, 0.0000, 0.7020) and Te at (0.2744, 0.5000, 0.3134).

Its uncorrected formation energy is -0.77 eV/atom. As for the crystal system: monoclinic.

---

(4)
K3Zr2MnTe6: relaxed, GGA-PBE.

The structure belongs to space group C2/m (No. 12); the cell edges are 7.3808, 12.7739 and 8.5948 Å and the angles 90.00°, 106.63° and 90.00°. The asymmetric unit holds K at (0.0000, 0.0000, 0.0000), K at (0.0000, 0.3321, 0.0000), Zr at (0.0000, 0.1661, 0.5000), Mn at (0.0000, 0.5000, 0.5000), Te at (0.2309, 0.3348, 0.6977) and Te at (0.2359, 0.0000, 0.6989).

Its uncorrected formation energy is -0.84 eV/atom. As for the crystal system: monoclinic.